## Ba4SbN (PBE)

Data for a geometry-optimized Ba4SbN structure.

It has space group C2/c (No. 15), with a = 9.3817 Å, b = 16.4234 Å, c = 8.8782 Å, α = 90.00°, β = 120.95° and γ = 90.00°. The inequivalent atoms are Ba at (0.1654, 0.2214, 0.1621), Ba at (0.2044, 0.0462, 0.5116), Sb at (0.0000, 0.1279, 0.7500) and N at (0.0000, 0.1300, 0.2500).

The crystal system is monoclinic. As for the uncorrected formation energy: -0.595 eV/atom.